DFT (PBE) results for an optimized crystal structure of HfThBr.

Results
Its space-group type is C2/m. The calculation puts the formation energy without anion corrections at -0.379 eV/atom.

a b c (Å): 5.6140 5.6140 10.5581
angles (deg): 118.18 118.18 35.45
Closest atoms and distances in Å follow each position.
Sites, in units of the cell vectors:
Hf  0.1586  0.1586  0.0425  3 Hf 3.05, 1 Br 3.06, 3 Th 3.28-3.41
Hf  0.8414  0.8414  0.9575  3 Hf 3.05, 1 Br 3.06, 3 Th 3.28-3.41
Th  0.4765  0.4765  0.7403  4 Br 3.12-3.34, 3 Hf 3.28-3.41, 2 Th 3.42
Th  0.5235  0.5235  0.2597  4 Br 3.12-3.34, 3 Hf 3.28-3.41, 2 Th 3.42
Br  0.3063  0.3063  0.3761  1 Hf 3.06, 4 Th 3.12-3.34, 2 Br 3.42
Br  0.6937  0.6937  0.6239  1 Hf 3.06, 4 Th 3.12-3.34, 2 Br 3.42

---

DFT (PBE) results for an optimized crystal structure of Hf2TiBr.

Results
Its space-group type is I-42d. The energy above the most stable polymorph in this dataset is 0.049 eV per formula unit. The calculation puts the formation energy without anion corrections at 0.513 eV/atom.

a b c (Å): 10.6067 10.6067 10.6067
angles (deg): 157.70 157.70 31.75
Closest atoms and distances in Å follow each position.
Sites, in units of the cell vectors:
Hf  0.1229  0.6250  0.9979  4 Hf 2.89-2.91, 2 Ti 2.93, 2 Br 2.94
Hf  0.3750  0.3729  0.4979  4 Hf 2.89-2.91, 2 Ti 2.93, 2 Br 2.94
Hf  0.6271  0.1250  0.0021  4 Hf 2.89-2.91, 2 Ti 2.93, 2 Br 2.94
Hf  0.8750  0.8771  0.5021  4 Hf 2.89-2.91, 2 Ti 2.93, 2 Br 2.94
Ti  0.0000  0.0000  0.0000  4 Br 2.90, 4 Hf 2.93
Ti  0.7500  0.2500  0.5000  4 Br 2.90, 4 Hf 2.93
Br  0.2500  0.7500  0.5000  4 Ti 2.90, 4 Hf 2.94
Br  0.5000  0.5000  0.0000  4 Ti 2.90, 4 Hf 2.94

---

DFT (PBE) results for an optimized crystal structure of HfTi2Br6.

Results
Its space-group type is C2/c. The calculation puts the formation energy without anion corrections at -0.914 eV/atom.

a b c (Å): 9.0407 9.0407 6.5334
angles (deg): 111.10 111.10 81.28
Closest atoms and distances in Å follow each position.
Sites, in units of the cell vectors:
Hf  0.0735  0.9265  0.7500  6 Br 2.74-2.79, 2 Ti 2.89
Hf  0.9265  0.0735  0.2500  6 Br 2.74-2.79, 2 Ti 2.89
Ti  0.1650  0.3137  0.5004  6 Br 2.57-2.84
Ti  0.3137  0.1650  0.0004  6 Br 2.57-2.84
Ti  0.6863  0.8350  0.9996  6 Br 2.57-2.84
Ti  0.8350  0.6863  0.4996  6 Br 2.57-2.84
Br  0.0125  0.2308  0.0231  2 Hf 2.74-2.79, 2 Ti 2.74-2.78
Br  0.1244  0.6225  0.4671  2 Ti 2.66-2.84, 1 Hf 2.78
Br  0.2308  0.0125  0.5231  2 Hf 2.74-2.79, 2 Ti 2.74-2.78
Br  0.2885  0.4373  0.9437  2 Ti 2.57-2.58
Br  0.3775  0.8756  0.0329  2 Ti 2.66-2.84, 1 Hf 2.78
Br  0.4373  0.2885  0.4437  2 Ti 2.57-2.58
Br  0.5627  0.7115  0.5563  2 Ti 2.57-2.58
Br  0.6225  0.1244  0.9671  2 Ti 2.66-2.84, 1 Hf 2.78
Br  0.7115  0.5627  0.0563  2 Ti 2.57-2.58
Br  0.7692  0.9875  0.4769  2 Hf 2.74-2.79, 2 Ti 2.74-2.78
Br  0.8756  0.3775  0.5329  2 Ti 2.66-2.84, 1 Hf 2.78
Br  0.9875  0.7692  0.9769  2 Hf 2.74-2.79, 2 Ti 2.74-2.78

---

DFT (PBE) results for an optimized crystal structure of HfTiBr.

Results
Its space-group type is C2/m. The calculation puts the formation energy without anion corrections at -0.416 eV/atom.

a b c (Å): 9.3912 9.3912 4.1555
angles (deg): 90.25 90.25 25.23
Closest atoms and distances in Å follow each position.
Sites, in units of the cell vectors:
Hf  0.0583  0.0583  0.2512  2 Br 2.87, 6 Ti 2.89-2.92, 2 Hf 2.98
Hf  0.9417  0.9417  0.7488  2 Br 2.87, 6 Ti 2.89-2.92, 2 Hf 2.98
Ti  0.4470  0.4470  0.2489  2 Ti 2.84-2.85, 6 Hf 2.89-2.92, 2 Br 2.95-2.96
Ti  0.5530  0.5530  0.7511  2 Ti 2.84-2.85, 6 Hf 2.89-2.92, 2 Br 2.95-2.96
Br  0.3324  0.3324  0.7469  2 Hf 2.87, 2 Ti 2.95-2.96
Br  0.6676  0.6676  0.2531  2 Hf 2.87, 2 Ti 2.95-2.96

---

DFT (PBE) results for an optimized crystal structure of Hf2TiBr.

Results
Its space-group type is Fm-3m. The energy above the most stable polymorph in this dataset is 0.000 eV per formula unit. The calculation puts the formation energy without anion corrections at 0.500 eV/atom.

a b c (Å): 4.9090 4.9090 4.9090
angles (deg): 60.00 60.00 60.00
Closest atoms and distances in Å follow each position.
Sites, in units of the cell vectors:
Hf  0.2500  0.2500  0.2500  4 Br 3.01, 4 Ti 3.01
Hf  0.7500  0.7500  0.7500  4 Ti 3.01, 4 Br 3.01
Ti  0.0000  0.0000  0.0000  8 Hf 3.01
Br  0.5000  0.5000  0.5000  8 Hf 3.01

---

DFT (PBE) results for an optimized crystal structure of Hf2Ti2Br.

Results
Its space-group type is P4/mbm. The energy above the most stable polymorph in this dataset is 0.000 eV per formula unit. The calculation puts the formation energy without anion corrections at 0.347 eV/atom.

a b c (Å): 6.9139 6.9139 4.5334
angles (deg): 90.00 90.00 90.00
Closest atoms and distances in Å follow each position.
Sites, in units of the cell vectors:
Hf  0.1491  0.3509  0.0000  2 Br 2.64, 1 Hf 2.92
Hf  0.3509  0.8509  0.0000  2 Br 2.64, 1 Hf 2.92
Hf  0.6491  0.1491  0.0000  2 Br 2.64, 1 Hf 2.92
Hf  0.8509  0.6491  0.0000  2 Br 2.64, 1 Hf 2.92
Ti  0.1375  0.6375  0.5000  1 Ti 2.69
Ti  0.3625  0.1375  0.5000  1 Ti 2.69
Ti  0.6375  0.8625  0.5000  1 Ti 2.69
Ti  0.8625  0.3625  0.5000  1 Ti 2.69
Br  0.0000  0.0000  0.0000  4 Hf 2.64
Br  0.5000  0.5000  0.0000  4 Hf 2.64

---

DFT (PBE) results for an optimized crystal structure of Hf2Ti2Br.

Results
Its space-group type is I4/mmm. The energy above the most stable polymorph in this dataset is 0.049 eV per formula unit. The calculation puts the formation energy without anion corrections at 0.357 eV/atom.

a b c (Å): 8.8221 8.8221 8.8221
angles (deg): 156.41 156.41 33.60
Closest atoms and distances in Å follow each position.
Sites, in units of the cell vectors:
Hf  0.1157  0.1157  0.0000  4 Ti 2.90, 4 Br 3.21
Hf  0.8843  0.8843  0.0000  4 Ti 2.90, 4 Br 3.21
Ti  0.2500  0.7500  0.5000  4 Ti 2.55
Ti  0.7500  0.2500  0.5000  4 Ti 2.55
Br  0.5000  0.5000  0.0000  8 Hf 3.21

---

DFT (PBE) results for an optimized crystal structure of HfTlBr2.

Results
Its space-group type is I-42d. The energy above the most stable polymorph in this dataset is 2.470 eV per formula unit. The calculation puts the formation energy without anion corrections at -0.052 eV/atom.

a b c (Å): 10.2193 10.2193 10.2193
angles (deg): 152.82 152.82 38.81
Closest atoms and distances in Å follow each position.
Sites, in units of the cell vectors:
Hf  0.0000  0.0000  0.0000  4 Br 2.87
Hf  0.7500  0.2500  0.5000  4 Br 2.87
Tl  0.2500  0.7500  0.5000  4 Br 3.03
Tl  0.5000  0.5000  0.0000  4 Br 3.03
Br  0.0849  0.6250  0.9599  2 Hf 2.87, 2 Tl 3.03, 2 Br 3.13
Br  0.3750  0.3349  0.4599  2 Hf 2.87, 2 Tl 3.03, 2 Br 3.13
Br  0.6651  0.1250  0.0401  2 Hf 2.87, 2 Tl 3.03, 2 Br 3.13
Br  0.8750  0.9151  0.5401  2 Hf 2.87, 2 Tl 3.03, 2 Br 3.13

---

DFT (PBE) results for an optimized crystal structure of Hf2Tl2Br.

Results
Its space-group type is P4/mbm. The calculation puts the formation energy without anion corrections at 0.040 eV/atom.

a b c (Å): 7.2516 7.2516 4.5672
angles (deg): 90.00 90.00 90.00
Closest atoms and distances in Å follow each position.
Sites, in units of the cell vectors:
Hf  0.1450  0.3550  0.0000  2 Br 2.78, 1 Hf 2.97, 2 Tl 3.04
Hf  0.3550  0.8550  0.0000  2 Br 2.78, 1 Hf 2.97, 2 Tl 3.04
Hf  0.6450  0.1450  0.0000  2 Br 2.78, 1 Hf 2.97, 2 Tl 3.04
Hf  0.8550  0.6450  0.0000  2 Br 2.78, 1 Hf 2.97, 2 Tl 3.04
Tl  0.1594  0.6594  0.5000  6 Hf 3.04-3.18, 1 Tl 3.27
Tl  0.3406  0.1594  0.5000  6 Hf 3.04-3.18, 1 Tl 3.27
Tl  0.6594  0.8406  0.5000  6 Hf 3.04-3.18, 1 Tl 3.27
Tl  0.8406  0.3406  0.5000  6 Hf 3.04-3.18, 1 Tl 3.27
Br  0.0000  0.0000  0.0000  4 Hf 2.78
Br  0.5000  0.5000  0.0000  4 Hf 2.78

---

DFT (PBE) results for an optimized crystal structure of HfTl6Br12.

Results
Its space-group type is R-3. The calculation puts the formation energy without anion corrections at -0.871 eV/atom.

a b c (Å): 9.0584 9.0584 9.0584
angles (deg): 97.26 97.26 97.26
Closest atoms and distances in Å follow each position.
Sites, in units of the cell vectors:
Hf  0.0000  0.0000  0.0000  6 Br 2.63
Tl  0.1525  0.6472  0.3255  5 Br 3.11-3.41
Tl  0.3255  0.1525  0.6472  5 Br 3.11-3.41
Tl  0.3528  0.6745  0.8475  5 Br 3.11-3.41
Tl  0.6472  0.3255  0.1525  5 Br 3.11-3.41
Tl  0.6745  0.8475  0.3528  5 Br 3.11-3.41
Tl  0.8475  0.3528  0.6745  5 Br 3.11-3.41
Br  0.0076  0.7089  0.9490  1 Hf 2.63
Br  0.0510  0.9924  0.2911  1 Hf 2.63
Br  0.1707  0.4265  0.5716  4 Tl 3.11-3.26
Br  0.2911  0.0510  0.9924  1 Hf 2.63
Br  0.4265  0.5716  0.1707  4 Tl 3.11-3.26
Br  0.4284  0.8293  0.5735  4 Tl 3.11-3.26
Br  0.5716  0.1707  0.4265  4 Tl 3.11-3.26
Br  0.5735  0.4284  0.8293  4 Tl 3.11-3.26
Br  0.7089  0.9490  0.0076  1 Hf 2.63
Br  0.8293  0.5735  0.4284  4 Tl 3.11-3.26
Br  0.9490  0.0076  0.7089  1 Hf 2.63
Br  0.9924  0.2911  0.0510  1 Hf 2.63

---

DFT (PBE) results for an optimized crystal structure of HfTl3Br7.

Results
Its space-group type is Cm. The calculation puts the formation energy without anion corrections at -1.113 eV/atom.

a b c (Å): 7.6659 7.6659 8.4618
angles (deg): 111.08 111.08 82.26
Closest atoms and distances in Å follow each position.
Sites, in units of the cell vectors:
Hf  0.0000  0.0000  0.0000  6 Br 2.62-2.65
Tl  0.2197  0.7941  0.5086  2 Br 3.03-3.37
Tl  0.5011  0.5011  0.9649  1 Br 3.04
Tl  0.7941  0.2197  0.5086  2 Br 3.03-3.37
Br  0.0411  0.6739  0.7653  1 Hf 2.64
Br  0.1642  0.1642  0.8630  1 Hf 2.65
Br  0.3279  0.9526  0.2238  1 Hf 2.62
Br  0.4896  0.4896  0.5986  3 Tl 3.03-3.04
Br  0.6739  0.0411  0.7653  1 Hf 2.64
Br  0.8388  0.8388  0.1374  1 Hf 2.62
Br  0.9526  0.3279  0.2238  1 Hf 2.62

---

| no. | total energy (eV per atom) |
| --- | --- |
| 1 | -6.728 |
| 2 | -6.856 |
| 3 | -4.890 |
| 4 | -6.923 |
| 5 | -6.868 |
| 6 | -7.126 |
| 7 | -7.117 |
| 8 | -3.968 |
| 9 | -5.223 |
| 10 | -3.198 |
| 11 | -3.727 |